An optimized crystal structure of BaIrCl, computed with PBE-GGA.

E_form (uncorrected) ... -0.975 eV per atom
DOS(E_F) ... 0.02 states/eV/atom
Electronic total energy ... -31.1 eV/cell

Cell and atoms, written as POSCAR:
```
BaIrCl
1.0
6.008 0.004 -0.013
-1.596 4.073 0.000
-2.308 -0.904 8.360
Ir Cl Ba
2 2 2
direct
0.386 0.666 0.962 Ir
0.243 0.095 0.885 Ir
0.741 0.344 0.637 Cl
0.053 0.000 0.324 Cl
0.317 0.632 0.586 Ba
0.869 0.408 0.039 Ba
```